(a)
Below is a geometry-optimized ScBePt2 structure, with properties calculated at the GGA-PBE level.

```
ScBePt2
1.0
4.184 0.000 0.000
0.000 2.967 -0.004
0.000 1.496 4.953
Sc Be Pt
1 1 2
Direct
0.000 0.562 0.500
0.500 0.925 0.774
0.000 0.834 0.956
0.500 0.178 0.270
```

Computed properties:
- Size of the total moment: 0.00 μB/cell


(b)
Below is a geometry-optimized ScBePt2 structure, with properties calculated at the GGA-PBE level.

```
ScBePt2
1.0
-0.626 0.829 -2.692
-2.772 -0.668 0.439
-1.193 6.433 2.258
Sc Be Pt
1 1 2
Direct
0.500 0.500 0.250
0.500 0.500 0.750
0.000 0.000 0.958
0.000 0.000 0.542
```

Computed properties:
- Size of the total moment: 0.00 μB/cell


Question: of the structures shown, which is the least stable? Reply: (a).